A geometry-optimized Tb8CdCu2 structure, computed with PBE.

The density of states at the Fermi level is 20.2 states/eV per cell. As for the size of the total moment: 0.00 μB/cell. The energy relative to the lowest polymorph listed for this composition is 0.0 kJ per mole of atoms. The uncorrected energy is -4.30 eV per atom.

The structure belongs to space group C2/m (No. 12); the cell edges are 16.1412, 5.1466 and 8.0356 Å and the angles 90.00°, 116.86° and 90.00°. Symmetry generates all atoms from Tb at (0.0610, 0.0000, 0.2331), Tb at (0.1069, 0.5000, 0.9706), Tb at (0.1603, 0.0000, 0.7334), Tb at (0.1882, 0.5000, 0.4779), Cd at (0.0000, 0.5000, 0.5000) and Cu at (0.2088, 0.0000, 0.1261).